Below is a geometry-optimized PrMn4PbO8 structure, with properties calculated at the GGA+U level.

The magnetization is 17.00 μB/f.u. As for the total energy: -0.267 hartree per atom.

a = 6.672 Å, b = 6.672 Å, c = 6.672 Å
α = 56.98°, β = 56.98°, γ = 56.98°
Fractional coordinates of all 14 atoms:
Pr (0.000, 0.000, 0.000)
Mn (0.109, 0.614, 0.614)
Mn (0.224, 0.224, 0.224)
Mn (0.614, 0.109, 0.614)
Mn (0.614, 0.614, 0.109)
Pb (0.607, 0.607, 0.607)
O (0.344, 0.344, 0.810)
O (0.344, 0.810, 0.344)
O (0.347, 0.347, 0.347)
O (0.433, 0.865, 0.865)
O (0.810, 0.344, 0.344)
O (0.864, 0.864, 0.864)
O (0.865, 0.433, 0.865)
O (0.865, 0.865, 0.433)